(1)
{
  "formula": "NaLaF4",
  "functional": "GGA-PBE",
  "state": "relaxed",
  "cell": [[6.238, 0.000, 0.000], [3.092, 6.611, 0.000], [3.107, 2.143, 6.260]],
  "species": ["Na", "Na", "Na", "La", "La", "La", "F", "F", "F", "F", "F", "F", "F", "F", "F", "F", "F", "F"],
  "frac_coords": [[0.000, 0.000, 0.000], [0.004, 0.476, 0.486], [0.668, 0.437, 0.212], [0.334, 0.501, 0.819], [0.341, 0.000, 0.309], [0.675, 0.924, 0.718], [0.090, 0.245, 0.057], [0.093, 0.734, 0.543], [0.311, 0.891, 0.697], [0.319, 0.382, 0.198], [0.373, 0.282, 0.629], [0.383, 0.823, 0.080], [0.596, 0.624, 0.442], [0.618, 0.132, 0.936], [0.703, 0.546, 0.810], [0.707, 0.006, 0.342], [0.928, 0.712, 0.970], [0.934, 0.168, 0.507]],
  "dft_energy_ev_per_atom": -6.001
}

---

(2)
{
  "formula": "Na2La2F7",
  "functional": "GGA-PBE",
  "state": "relaxed",
  "cell": [[4.304, -4.016, 0.000], [4.304, 4.016, 0.000], [-0.010, 0.000, 5.791]],
  "species": ["Na", "Na", "La", "La", "F", "F", "F", "F", "F", "F", "F"],
  "frac_coords": [[0.238, 0.762, 0.000], [0.762, 0.238, 0.000], [0.232, 0.232, 0.500], [0.768, 0.768, 0.500], [0.000, 0.000, 0.262], [0.000, 0.000, 0.738], [0.000, 0.500, 0.267], [0.000, 0.500, 0.733], [0.500, 0.000, 0.267], [0.500, 0.000, 0.733], [0.500, 0.500, 0.500]],
  "dft_energy_ev_per_atom": -5.776
}